[1]
Density functional theory data (GGA-PBE) for an optimized crystal structure of ZnSnH2. Values from VASP.

The structure in Quantum ESPRESSO input format:
```
&SYSTEM
  ibrav = 0, nat = 4, ntyp = 3
/
ATOMIC_SPECIES
Zn 65.41 Zn.upf
Sn 118.71 Sn.upf
H 1.01 H.upf
CELL_PARAMETERS angstrom
0.0000 2.9400 2.9400
2.9400 0.0000 2.9400
2.9400 2.9400 0.0000
ATOMIC_POSITIONS angstrom
Zn 0.0000 0.0000 0.0000
Sn 2.9400 2.9400 2.9400
H 1.4700 1.4700 1.4700
H 4.4100 4.4100 4.4100
```

Summary:
Excess energy over the best structure of this formula in the dataset, meV/atom: 273
Space-group type: Fm-3m (225)
D(E_F), states/eV per cell: 1.0

---

[2]
Density functional theory data (GGA-PBE) for an optimized crystal structure of ZnSnH. Values from VASP.

The structure in Quantum ESPRESSO input format:
```
&SYSTEM
  ibrav = 0, nat = 6, ntyp = 3
/
ATOMIC_SPECIES
Zn 65.41 Zn.upf
Sn 118.71 Sn.upf
H 1.01 H.upf
CELL_PARAMETERS angstrom
3.4185 0.0000 0.0000
-0.0100 4.9758 0.0000
-1.6840 -1.8012 6.3788
ATOMIC_POSITIONS angstrom
Zn 0.0107 -0.0505 2.6744
Zn 1.7137 3.2251 3.7044
Sn -0.0019 2.3384 1.4877
Sn 1.7263 0.8362 4.8910
H 0.0382 3.0971 6.0067
H 1.6862 0.0776 0.3721
```

Summary:
Excess energy over the best structure of this formula in the dataset, meV/atom: 50
Space-group type: P-1 (2)
D(E_F), states/eV per cell: 0.6

---

[3]
Density functional theory data (GGA-PBE) for an optimized crystal structure of Zn2SnH. Values from VASP.

The structure in Quantum ESPRESSO input format:
```
&SYSTEM
  ibrav = 0, nat = 8, ntyp = 3
/
ATOMIC_SPECIES
Zn 65.41 Zn.upf
Sn 118.71 Sn.upf
H 1.01 H.upf
CELL_PARAMETERS angstrom
-2.4042 2.4042 5.8285
2.4042 -2.4042 5.8285
2.4042 2.4042 -5.8285
ATOMIC_POSITIONS angstrom
Zn 0.3581 1.2021 1.4571
Zn -1.2021 2.0461 4.3714
Zn -0.3581 3.6063 1.4571
Zn 1.2021 2.7623 4.3714
Sn 2.4042 0.0000 2.9142
Sn 0.0000 0.0000 5.8285
H 0.0000 0.0000 0.0000
H 0.0000 2.4042 2.9142
```

Summary:
Excess energy over the best structure of this formula in the dataset, meV/atom: 0
Space-group type: I-42d (122)
D(E_F), states/eV per cell: 2.4

---

Which of these has the lowest excess energy over the best structure of this formula in the dataset?
Zn2SnH